1.
Computed, not measured: an optimized crystal structure of YBiSbRu2 at the PBE-GGA level of DFT.

Results
Crystal system: tetragonal
Uncorrected energy, eV/f.u.: -27.53

Lattice parameters (Å, degrees): 4.962 5.652 4.962 90.00 90.00 90.00
Atoms (fractional coordinates):
Ru  0.000  0.000  0.500
Sb  0.000  0.500  0.000
Bi  0.000  0.000  0.000
Y  0.500  0.500  0.500
Ru  0.500  0.000  0.000

---

2.
Computed, not measured: an optimized crystal structure of PaAl2Pt8 at the PBE-GGA level of DFT.

Results
Crystal system: monoclinic
Formation energy from the elements, eV per atom: -0.80

Lattice parameters (Å, degrees): 4.106 6.569 7.464 110.49 105.97 90.00
Atoms (fractional coordinates):
Al  0.786  0.343  0.572
Pt  0.844  0.776  0.688
Al  0.214  0.657  0.428
Pt  0.959  0.277  0.918
Pt  0.320  0.063  0.639
Pt  0.612  0.468  0.223
Pa  0.500  0.000  0.000
Pt  0.041  0.723  0.082
Pt  0.388  0.532  0.777
Pt  0.156  0.224  0.312
Pt  0.680  0.937  0.361

---

3.
Computed, not measured: an optimized crystal structure of YSb2Ru2 at the PBE-GGA level of DFT.

Results
Crystal system: tetragonal
Distance to the lowest polymorph of the same formula, kJ per mole of atoms: 7.0

Lattice parameters (Å, degrees): 7.783 7.783 3.250 90.00 90.00 90.00
Atoms (fractional coordinates):
Sb  0.340  0.160  0.500
Ru  0.132  0.368  0.000
Sb  0.160  0.660  0.500
Ru  0.632  0.132  0.000
Y  0.500  0.500  0.000
Sb  0.660  0.840  0.500
Ru  0.368  0.868  0.000
Sb  0.840  0.340  0.500
Y  0.000  0.000  0.000
Ru  0.868  0.632  0.000

---

4.
Computed, not measured: an optimized crystal structure of Ca2ScTlH at the PBE-GGA level of DFT.

Results
Crystal system: tetragonal
Uncorrected energy, eV/f.u.: -17.17

Lattice parameters (Å, degrees): 4.831 4.831 4.809 90.00 90.00 90.00
Last column: magnetic moment on the atom in μB.
Atoms (fractional coordinates):
H  0.000  0.000  0.000  -0.01
Ca  0.500  0.000  0.000  0.04
Sc  0.000  0.000  0.500  0.40
Ca  0.000  0.500  0.000  0.04
Tl  0.500  0.500  0.500  -0.02

---

5.
Computed, not measured: an optimized crystal structure of LiNpIr at the PBE-GGA level of DFT.

Results
Crystal system: triclinic
Formation energy from the elements, eV per atom: -0.07

Lattice parameters (Å, degrees): 5.875 6.936 11.711 163.28 133.93 45.69
Last column: magnetic moment on the atom in μB.
Atoms (fractional coordinates):
Ir  0.191  0.875  0.934  -0.12
Np  0.196  0.364  0.425  2.19
Np  0.517  0.120  0.842  2.19
Ir  0.521  0.609  0.333  -0.12
Li  0.857  0.242  0.633  0.01
Li  0.856  0.742  0.133  0.00

---

6.
Computed, not measured: an optimized crystal structure of LaY2Tm8 at the PBE-GGA level of DFT.

Results
Crystal system: monoclinic
Formation energy from the elements, eV per atom: 0.11

Lattice parameters (Å, degrees): 5.407 8.315 9.009 114.88 107.46 90.00
Atoms (fractional coordinates):
Tm  0.670  0.896  0.340
La  0.500  0.000  0.000
Tm  0.979  0.277  0.958
Tm  0.158  0.198  0.317
Tm  0.842  0.802  0.683
Y  0.796  0.346  0.593
Tm  0.330  0.104  0.660
Tm  0.386  0.553  0.772
Y  0.204  0.654  0.407
Tm  0.021  0.723  0.042
Tm  0.614  0.447  0.228

---

7.
Computed, not measured: an optimized crystal structure of Cd2Ag2F7 at the PBE-GGA level of DFT.

Results
Crystal system: orthorhombic
Distance to the lowest polymorph of the same formula, kJ per mole of atoms: 1.1

Lattice parameters (Å, degrees): 3.412 7.324 7.324 58.71 76.53 76.53
Last column: magnetic moment on the atom in μB.
Atoms (fractional coordinates):
Cd  0.000  0.796  0.204  0.00
F  0.119  0.166  0.595  0.00
Ag  0.251  0.322  0.176  0.34
F  0.189  0.700  0.922  0.14
F  0.397  0.721  0.484  0.04
Ag  0.749  0.824  0.678  0.34
F  0.603  0.516  0.279  0.04
F  0.811  0.078  0.300  0.14
F  0.500  0.999  0.001  0.00
Cd  0.500  0.327  0.673  0.00
F  0.881  0.405  0.834  0.00

---

8.
Computed, not measured: an optimized crystal structure of Rb2CoNiCl6 at the PBE-GGA level of DFT.

Results
Crystal system: cubic
Distance to the lowest polymorph of the same formula, kJ per mole of atoms: 0.0

Lattice parameters (Å, degrees): 6.900 6.900 6.901 60.00 60.00 89.99
Last column: magnetic moment on the atom in μB.
Atoms (fractional coordinates):
Cl  0.750  0.750  0.500  0.00
Rb  0.250  0.750  0.500  0.00
Rb  0.750  0.250  0.500  0.00
Co  0.000  0.000  0.000  -2.24
Cl  0.250  0.250  0.500  0.00
Cl  0.250  0.750  0.000  0.00
Cl  0.750  0.250  0.000  0.00
Cl  0.250  0.250  0.000  0.00
Ni  0.500  0.500  0.000  1.27
Cl  0.750  0.750  0.000  0.00

---

9.
Computed, not measured: an optimized crystal structure of BaI2Br2 at the PBE-GGA level of DFT.

Results
Crystal system: tetragonal
Uncorrected energy, eV/f.u.: -13.60

Lattice parameters (Å, degrees): 8.545 8.545 7.199 90.00 90.00 90.00
Atoms (fractional coordinates):
Ba  0.000  0.000  0.000
I  0.889  0.389  0.500
I  0.389  0.111  0.500
Ba  0.500  0.500  0.000
I  0.611  0.889  0.500
Br  0.819  0.681  0.000
Br  0.181  0.319  0.000
Br  0.681  0.181  0.000
Br  0.319  0.819  0.000
I  0.111  0.611  0.500

---

10.
Computed, not measured: an optimized crystal structure of Sc5Bi2P at the PBE-GGA level of DFT.

Results
Crystal system: tetragonal
Formation energy from the elements, eV per atom: -0.56

Lattice parameters (Å, degrees): 6.732 6.732 6.452 121.44 121.44 90.00
Atoms (fractional coordinates):
Sc  0.255  0.740  0.996
P  0.044  0.044  0.087
Sc  0.740  0.740  0.996
Bi  0.748  0.248  0.497
Sc  0.740  0.255  0.996
Bi  0.248  0.748  0.497
Sc  0.255  0.255  0.996
Sc  0.745  0.745  0.490

---

11.
Computed, not measured: an optimized crystal structure of Na4LaTh3Se8 at the PBE-GGA level of DFT.

Results
Crystal system: trigonal
Uncorrected energy, eV/f.u.: -84.98

Lattice parameters (Å, degrees): 8.422 8.659 8.422 119.11 120.00 90.00
Atoms (fractional coordinates):
Th  0.500  0.500  0.000
Se  0.741  0.744  0.992
Se  0.251  0.744  0.992
Na  0.500  0.000  0.500
Na  0.500  0.000  0.000
Th  0.000  0.500  0.500
Se  0.749  0.256  0.008
Na  0.000  0.000  0.500
Na  0.000  0.000  0.000
Se  0.251  0.744  0.502
La  0.000  0.500  0.000
Se  0.252  0.257  0.505
Th  0.500  0.500  0.500
Se  0.749  0.256  0.498
Se  0.748  0.743  0.495
Se  0.259  0.256  0.008

---

12.
Computed, not measured: an optimized crystal structure of PmPrY6Er2 at the PBE-GGA level of DFT.

Results
Crystal system: monoclinic
Formation energy from the elements, eV per atom: 0.12

Lattice parameters (Å, degrees): 9.629 8.805 8.805 116.75 93.95 93.95
Atoms (fractional coordinates):
Pm  0.250  0.971  0.029
Y  0.616  0.487  0.705
Y  0.680  0.019  0.567
Y  0.443  0.246  0.884
Pm  0.750  0.029  0.971
Y  0.180  0.567  0.019
Er  0.451  0.805  0.705
Y  0.884  0.295  0.513
Y  0.384  0.513  0.295
Y  0.557  0.754  0.116
Y  0.820  0.433  0.981
Y  0.057  0.116  0.754
Er  0.549  0.195  0.295
Pr  0.250  0.408  0.592
Y  0.943  0.884  0.246
Y  0.116  0.705  0.487
Y  0.320  0.981  0.433
Pr  0.750  0.592  0.408
Er  0.951  0.705  0.805
Er  0.049  0.295  0.195

---

13.
Computed, not measured: an optimized crystal structure of Sc2CrAs2 at the PBE-GGA level of DFT.

Results
Crystal system: tetragonal
Formation energy from the elements, eV per atom: -0.77

Lattice parameters (Å, degrees): 6.929 6.929 3.813 90.00 90.00 90.00
Last column: magnetic moment on the atom in μB.
Atoms (fractional coordinates):
Cr  0.000  0.000  0.000  3.12
Sc  0.342  0.158  0.500  0.00
Sc  0.842  0.342  0.500  0.01
As  0.151  0.349  0.000  -0.03
Sc  0.658  0.842  0.500  0.00
As  0.349  0.849  0.000  -0.03
As  0.849  0.651  0.000  -0.03
Cr  0.500  0.500  0.000  3.12
Sc  0.158  0.658  0.500  0.01
As  0.651  0.151  0.000  -0.03

---

14.
Computed, not measured: an optimized crystal structure of LaNd2SmMg at the PBE-GGA level of DFT.

Results
Crystal system: orthorhombic
Formation energy from the elements, eV per atom: 0.14

Lattice parameters (Å, degrees): 6.961 7.824 6.164 90.01 90.00 90.00
Atoms (fractional coordinates):
Sm  0.833  0.500  0.250
Mg  0.000  0.000  0.500
La  0.410  0.000  0.750
Nd  0.707  0.287  0.750
La  0.590  0.000  0.250
Nd  0.707  0.713  0.750
Nd  0.293  0.713  0.250
Nd  0.293  0.287  0.250
Sm  0.167  0.500  0.750
Mg  0.000  0.000  0.000

---

15.
Computed, not measured: an optimized crystal structure of Dy2TiPd8 at the PBE-GGA level of DFT.

Results
Crystal system: monoclinic
Formation energy from the elements, eV per atom: -0.64

Lattice parameters (Å, degrees): 4.511 6.019 8.091 110.63 106.19 90.00
Atoms (fractional coordinates):
Pd  0.374  0.602  0.748
Pd  0.002  0.741  0.004
Pd  0.368  0.135  0.736
Dy  0.200  0.695  0.401
Pd  0.626  0.398  0.252
Pd  0.833  0.832  0.665
Dy  0.800  0.305  0.599
Pd  0.167  0.168  0.335
Ti  0.500  0.000  0.000
Pd  0.632  0.865  0.264
Pd  0.998  0.259  0.996

---

16.
Computed, not measured: an optimized crystal structure of Tl4CrW at the PBE-GGA level of DFT.

Results
Crystal system: cubic
Formation energy from the elements, eV per atom: 1.35

Lattice parameters (Å, degrees): 6.124 6.124 6.124 60.00 60.00 60.00
Last column: magnetic moment on the atom in μB.
Atoms (fractional coordinates):
Tl  0.874  0.375  0.375  0.00
W  0.750  0.750  0.750  -2.83
Cr  0.000  0.000  0.000  4.07
Tl  0.375  0.375  0.375  0.00
Tl  0.375  0.874  0.375  0.00
Tl  0.375  0.375  0.874  0.00

---

17.
Computed, not measured: an optimized crystal structure of TbZn2 at the PBE-GGA level of DFT.

Results
Crystal system: cubic
Formation energy from the elements, eV per atom: -0.34

Lattice parameters (Å, degrees): 5.472 5.472 5.472 60.00 60.00 60.00
Atoms (fractional coordinates):
Tb  0.000  0.000  0.000
Tb  0.250  0.250  0.250
Zn  0.125  0.625  0.625
Zn  0.625  0.625  0.625
Zn  0.625  0.125  0.625
Zn  0.625  0.625  0.125

---

18.
Computed, not measured: an optimized crystal structure of Ta2ZnCl at the PBE-GGA level of DFT.

Results
Crystal system: tetragonal
Distance to the lowest polymorph of the same formula, kJ per mole of atoms: 39.4

Lattice parameters (Å, degrees): 2.984 2.984 7.236 90.00 90.00 90.00
Atoms (fractional coordinates):
Cl  0.500  0.500  0.750
Ta  0.000  0.000  0.498
Zn  0.500  0.500  0.250
Ta  0.000  0.000  0.002

---

19.
Computed, not measured: an optimized crystal structure of TaTiNiRh at the PBE-GGA level of DFT.

Results
Crystal system: cubic
Distance to the lowest polymorph of the same formula, kJ per mole of atoms: 5.3
Formation energy from the elements, eV per atom: -0.34

Lattice parameters (Å, degrees): 4.398 4.398 4.398 60.00 60.00 60.00
Atoms (fractional coordinates):
Ni  0.500  0.500  0.500
Rh  0.000  0.000  0.000
Ta  0.750  0.750  0.750
Ti  0.250  0.250  0.250

---

20.
Computed, not measured: an optimized crystal structure of CaSnSb2Te at the PBE-GGA level of DFT.

Results
Crystal system: tetragonal
Distance to the lowest polymorph of the same formula, kJ per mole of atoms: 24.9

Lattice parameters (Å, degrees): 5.721 5.721 5.749 90.00 90.00 90.00
Atoms (fractional coordinates):
Ca  0.000  0.000  0.000
Te  0.000  0.000  0.500
Sb  0.000  0.500  0.000
Sb  0.500  0.000  0.000
Sn  0.500  0.500  0.500

---

no.,total moment (μB/f.u.)
1,0.0
2,0.0
3,0.0
4,0.8
5,2.1
6,0.0
7,1.1
8,1.0
9,0.0
10,0.0
11,0.0
12,0.0
13,3.3
14,0.0
15,0.0
16,0.9
17,0.0
18,0.0
19,0.0
20,0.0